Y4TaP at its PBEsol-relaxed geometry. Source: Alexandria via LeMat-Bulk, functional SCAN.

Values from the calculation:
The formation energy comes out at 82.3 kJ per mole of atoms. The electronic total energy is -183.2 eV for the cell shown. As for the total magnetization: 0.0 Bohr magnetons per cell. Its symmetry is F-43m. As for the density of states at the Fermi level: 5.83 states/eV/cell.

a = 5.926 Å, b = 5.926 Å, c = 5.926 Å
α = 60.00°, β = 60.00°, γ = 60.00°
Fractional positions:
Y (0.123, 0.123, 0.123)
Y (0.123, 0.123, 0.630)
Y (0.123, 0.630, 0.123)
Y (0.630, 0.123, 0.123)
Ta (0.750, 0.750, 0.750)
P (0.500, 0.500, 0.500)

CaSn3Bi at its PBEsol-relaxed geometry. Source: Alexandria via LeMat-Bulk, functional SCAN.

Values from the calculation:
The formation energy comes out at 48.2 kJ per mole of atoms. The electronic total energy is -193.5 eV for the cell shown. As for the total magnetization: 0.0 Bohr magnetons per cell. Its symmetry is Pm-3m. As for the density of states at the Fermi level: 4.01 states/eV/cell.

a = 5.740 Å, b = 5.740 Å, c = 5.740 Å
α = 90.00°, β = 90.00°, γ = 90.00°
Fractional positions:
Ca (0.000, 0.000, 0.000)
Sn (0.000, 0.500, 0.500)
Sn (0.500, 0.000, 0.500)
Sn (0.500, 0.500, 0.000)
Bi (0.500, 0.500, 0.500)

FeReB2 at its PBEsol-relaxed geometry. Source: Alexandria via LeMat-Bulk, functional SCAN.

Values from the calculation:
The formation energy comes out at 32.0 kJ per mole of atoms. The electronic total energy is -102.8 eV for the cell shown. As for the total magnetization: 0.0 Bohr magnetons per cell. Its symmetry is Fm-3m. As for the density of states at the Fermi level: 3.74 states/eV/cell.

a = 3.700 Å, b = 3.700 Å, c = 3.700 Å
α = 60.00°, β = 60.00°, γ = 60.00°
Fractional positions:
Fe (0.000, 0.000, 0.000)
Re (0.500, 0.500, 0.500)
B (0.250, 0.250, 0.250)
B (0.750, 0.750, 0.750)